Compound: Al2MoIO
Source: Alexandria
Functional: GGA+U
Structure: relaxed

abc: 6.026 6.026 5.714
angles: 90.00 90.00 90.00
Fractional coordinates of all 5 atoms:
Al: 0.000 0.500 0.000
Al: 0.500 0.000 0.000
Mo: 0.000 0.000 0.500
I: 0.000 0.000 0.000
O: 0.500 0.500 0.500

Properties
- calculated density (g/cm3) = 2.34
- uncorrected energy (eV per atom) = -2.595
- magnetization (μB per formula unit) = 4.82